No. 1
Computed, not measured: an optimized crystal structure of TiNbPdRh at the PBE-GGA level of DFT.

Properties
- Size of the total moment: 0.00 μB per cell
- Density of states at the Fermi level: 1.09 states/eV per cell
- Formation energy from the elements: -0.367 eV/atom
- E_tot: -31.98 eV per formula unit

Cell lengths 4.4576, 4.4576, 4.4576 Å; angles 60.00, 60.00, 60.00 degrees
With the nearest neighbours (Å) after each atom.
Fractional positions:
Ti 0.0000 0.0000 0.0000  4 Nb 2.73, 4 Pd 2.73
Nb 0.7500 0.7500 0.7500  4 Rh 2.73, 4 Ti 2.73
Pd 0.2500 0.2500 0.2500  4 Rh 2.73, 4 Ti 2.73
Rh 0.5000 0.5000 0.5000  4 Pd 2.73, 4 Nb 2.73

---

No. 2
Computed, not measured: an optimized crystal structure of TiNbPdRh at the PBE-GGA level of DFT.

Properties
- Size of the total moment: 0.46 μB per cell
- Density of states at the Fermi level: 5.24 states/eV per cell
- Formation energy from the elements: -0.092 eV/atom
- E_tot: -30.88 eV per formula unit

Cell lengths 5.3510, 5.3510, 5.3510 Å; angles 45.62, 45.62, 45.62 degrees
With the nearest neighbours (Å) after each atom.
Fractional positions:
Ti 0.0000 0.0000 0.0000  3 Rh 2.55, 3 Pd 2.63, 1 Nb 2.84
Nb 0.8024 0.8024 0.8024  3 Rh 2.62, 1 Ti 2.84
Pd 0.5906 0.5906 0.5906  3 Ti 2.63, 1 Rh 2.81
Rh 0.3948 0.3948 0.3948  3 Ti 2.55, 3 Nb 2.62, 1 Pd 2.81

---

No. 3
Computed, not measured: an optimized crystal structure of NbTlPdRh2 at the PBE-GGA level of DFT.

Properties
- Size of the total moment: 0.72 μB per cell
- Density of states at the Fermi level: 9.62 states/eV per cell
- Formation energy from the elements: 1.866 eV/atom
- E_tot: -23.00 eV per formula unit

Cell lengths 4.8743, 4.8743, 5.1182 Å; angles 90.00, 90.00, 90.00 degrees
With the nearest neighbours (Å) after each atom.
Fractional positions:
Nb 0.0000 0.0000 0.0000  2 Tl 2.56
Tl 0.0000 0.0000 0.5000  4 Rh 2.44, 2 Nb 2.56
Pd 0.5000 0.5000 0.0000  4 Nb 3.45, 8 Rh 3.53
Rh 0.0000 0.5000 0.5000  2 Tl 2.44
Rh 0.5000 0.0000 0.5000  2 Tl 2.44

---

Question: Look up the formation energy from the elements of the first one.
Answer: -0.367 eV/atom

---

Question: The lowest density of states at the Fermi level belongs to which entry?
Answer: number 1